! YFe2Mo, single point on PBEsol structure, DFT meta-GGA SCAN; values from VASP
&SYSTEM
  ibrav = 0, nat = 4, ntyp = 3
/
ATOMIC_SPECIES
Fe 55.84 Fe.upf
Y 88.91 Y.upf
Mo 95.94 Mo.upf
ATOMIC_POSITIONS angstrom
Fe 1.434 0.828 2.108
Fe 4.301 2.483 0.341
Y 4.301 2.483 6.726
Mo 2.868 1.656 4.041
CELL_PARAMETERS angstrom
2.868 0.000 0.000
1.434 2.483 0.000
1.434 0.828 8.811
! **V**: 15.7 Å³ per atom
! **Space-group type**: R3m (160)
! **Total magnetization**: 4.816 μB/cell
! **D(E_F)**: 3.581 states/eV/cell
! **Energy above the most stable polymorph in this dataset**: 1.23 eV per formula unit
! **Formation energy**: 0.593 eV/atom